Computed, not measured: a relaxed CsMnAsSe2 crystal at the PBE level of DFT.

Volume   131.6 Å³ per cell
Energy above the most stable polymorph in this dataset   0.000 eV per atom

a = 5.210 Å, b = 5.210 Å, c = 4.849 Å
α = 90.00°, β = 90.00°, γ = 90.00°
Atoms (fractional coordinates):
Cs 0.000 0.000 0.000
Mn 0.500 0.500 0.500
As 0.500 0.500 0.000
Se 0.000 0.500 0.500
Se 0.500 0.000 0.500